Compound: RbNaYCl2
Source: the Alexandria database
Functional: GGA-PBE
Structure: relaxed

Properties
M_tot = 0.193 μB per atom
Fermi-level density of states = 0.5467 states/eV per atom
E_form (uncorrected) = -0.313 eV/atom

Unit cell a=5.860 b=5.860 c=6.119 alpha=90.00 beta=90.00 gamma=90.00
Space group P4/mmm (No. 123)
Asymmetric unit:
Rb (0.000, 0.000, 0.000)
Na (0.000, 0.000, 0.500)
Y (0.500, 0.500, 0.500)
Cl (0.000, 0.500, 0.000)

Compound: RbNa3Zn4Cl12
Source: the Alexandria database
Functional: GGA-PBE
Structure: relaxed

Properties
M_tot = 0.000 μB per atom
Fermi-level density of states = 0.0000 states/eV per atom
E_form (uncorrected) = -1.387 eV/atom

Unit cell a=14.2249 b=14.2249 c=10.7535 alpha=90.00 beta=90.00 gamma=120.00
Space group R32 (No. 155, hexagonal axes)
Asymmetric unit:
Rb (0.0000, 0.0000, 0.0000)
Na (0.0000, 0.5552, 0.0000)
Zn (0.0000, 0.0000, 0.5000)
Zn (0.0000, 0.4409, 0.5000)
Cl (0.0000, 0.5963, 0.5000)
Cl (0.0000, 0.8453, 0.5000)
Cl (0.0448, 0.2209, 0.1708)

Compound: Rb2NaZnCl5
Source: the Alexandria database
Functional: GGA-PBE
Structure: relaxed

Properties
M_tot = 0.004 μB per atom
Fermi-level density of states = 0.0000 states/eV per atom
E_form (uncorrected) = -1.644 eV/atom

Unit cell a=4.081 b=19.734 c=13.788 alpha=90.00 beta=90.00 gamma=90.00
Space group Cmc2_1 (No. 36)
Asymmetric unit:
Rb (0.000, 0.130, 0.000)
Rb (0.000, 0.133, 0.639)
Na (0.000, 0.212, 0.353)
Zn (0.000, 0.437, 0.743)
Cl (0.000, 0.043, 0.329)
Cl (0.000, 0.297, 0.984)
Cl (0.000, 0.324, 0.706)
Cl (0.000, 0.349, 0.321)
Cl (0.000, 0.495, 0.602)

Compound: RbNaZn2Cl6
Source: the Alexandria database
Functional: GGA-PBE
Structure: relaxed

Properties
M_tot = 0.000 μB per atom
Fermi-level density of states = 0.0000 states/eV per atom
E_form (uncorrected) = -1.443 eV/atom

Unit cell a=13.543 b=14.506 c=6.528 alpha=90.00 beta=97.75 gamma=90.00
Space group C2/c (No. 15)
Asymmetric unit:
Rb (0.000, 0.112, 0.250)
Na (0.000, 0.353, 0.750)
Zn (0.207, 0.417, 0.241)
Cl (0.117, 0.298, 0.095)
Cl (0.128, 0.090, 0.722)
Cl (0.148, 0.446, 0.563)